(1)
Tb2GaSi3Ir4: optimized geometry, PBE.

Values from the calculation:
Total magnetization in Bohr magnetons per cell: 0.0
Raw formation energy in eV per formula unit: -9.9
Calculated density in Mg/m³: 11.98

Structure (POSCAR):
```
Tb2GaSi3Ir4
1.0
4.149 0.000 0.000
0.000 4.149 0.000
0.000 0.000 9.990
Tb Ga Si Ir
2 1 3 4
direct
0.000 0.500 0.249
0.500 0.000 0.751
0.500 0.500 0.000
0.000 0.000 0.000
0.000 0.500 0.629
0.500 0.000 0.371
0.000 0.000 0.500
0.000 0.500 0.864
0.500 0.000 0.136
0.500 0.500 0.500
```



(2)
GaSiTcIr: optimized geometry, PBE.

Values from the calculation:
Total magnetization in Bohr magnetons per cell: 0.0
Raw formation energy in eV per formula unit: -1.6
Calculated density in Mg/m³: 11.81

Structure (POSCAR):
```
GaSiTcIr
1.0
6.021 0.000 0.000
0.000 6.021 0.000
0.000 0.000 6.021
Ga Si Tc Ir
4 4 4 4
direct
0.000 0.000 0.000
0.000 0.500 0.500
0.500 0.000 0.500
0.500 0.500 0.000
0.000 0.000 0.500
0.000 0.500 0.000
0.500 0.000 0.000
0.500 0.500 0.500
0.250 0.250 0.250
0.250 0.750 0.750
0.750 0.250 0.750
0.750 0.750 0.250
0.250 0.250 0.750
0.250 0.750 0.250
0.750 0.250 0.250
0.750 0.750 0.750
```



(3)
Th2Ga4Si2Ir: optimized geometry, PBE.

Values from the calculation:
Total magnetization in Bohr magnetons per cell: 0.0
Raw formation energy in eV per formula unit: -4.9
Calculated density in Mg/m³: 9.52

Structure (POSCAR):
```
Th2Ga4Si2Ir
1.0
-3.115 3.115 4.456
3.115 -3.115 4.456
3.115 3.115 -4.456
Th Ga Si Ir
2 4 2 1
direct
0.250 0.750 0.500
0.750 0.250 0.500
0.212 0.212 0.424
0.212 0.788 0.000
0.788 0.212 0.000
0.788 0.788 0.576
0.224 0.224 0.000
0.776 0.776 0.000
0.500 0.500 0.000
```



(4)
Th2GaSiIr6: optimized geometry, PBE.

Values from the calculation:
Total magnetization in Bohr magnetons per cell: 0.0
Raw formation energy in eV per formula unit: -2.1
Calculated density in Mg/m³: 14.76

Structure (POSCAR):
```
Th2GaSiIr6
1.0
0.000 4.587 4.587
4.587 0.000 4.587
4.587 4.587 0.000
Th Ga Si Ir
2 1 1 6
direct
0.250 0.250 0.250
0.750 0.750 0.750
0.000 0.000 0.000
0.500 0.500 0.500
0.256 0.256 0.744
0.256 0.744 0.256
0.256 0.744 0.744
0.744 0.256 0.256
0.744 0.256 0.744
0.744 0.744 0.256
```